# LaV2Pt2

A relaxed LaV2Pt2 crystal (PBE-GGA, Alexandria via LeMat-Bulk).

Its excess energy over the best structure of this formula in the dataset is 143 meV per atom. The calculated formation energy comes out at -161 kJ/mol of formula units. The calculated volume comes out at 172 Å³ per cell. As for the spin magnetization: 0.06 μB/cell. The calculation puts the density of states at the Fermi level at 1.093 states/eV per atom.

Cell lengths 7.799, 7.799, 2.822 Å; angles 90.00, 90.00, 90.00 degrees
Space group P4/mbm (No. 127)
Symmetry-distinct sites (fractional):
La (0.000, 0.000, 0.000)
V (0.162, 0.338, 0.000)
Pt (0.132, 0.632, 0.500)